Compound: Th2URhN5
Source: the Alexandria database
Functional: GGA-PBE
Structure: optimized geometry

## Properties
Energy in eV/cell: -340.5
V in Å³ per cell: 509.1

Cell lengths 3.521, 13.399, 10.793 Å; angles 90.00, 90.00, 90.00 degrees
Space group Cmc2_1 (No. 36)
Inequivalent atoms, fractional coordinates:
Th  0.000  0.101  0.000 x4
Th  0.000  0.140  0.619 x4
U  0.000  0.201  0.325 x4
Rh  0.000  0.475  0.765 x4
N  0.000  0.054  0.385 x4
N  0.000  0.279  0.967 x4
N  0.000  0.324  0.688 x4
N  0.000  0.362  0.308 x4
N  0.000  0.485  0.083 x4

=====

Compound: Y2ThRhN4
Source: the Alexandria database
Functional: GGA-PBE
Structure: optimized geometry

## Properties
Energy in eV/cell: -279.1
V in Å³ per cell: 468.7

Cell lengths 3.417, 11.792, 11.630 Å; angles 90.00, 90.00, 90.00 degrees
Space group Cmcm (No. 63)
Inequivalent atoms, fractional coordinates:
Y  0.000  0.129  0.050 x8
Th  0.000  0.387  0.250 x4
Rh  0.000  0.352  0.750 x4
N  0.000  0.041  0.250 x4
N  0.000  0.221  0.629 x8
N  0.000  0.500  0.000 x4

=====

Compound: Ti2RhN
Source: the Alexandria database
Functional: GGA-PBE
Structure: optimized geometry

## Properties
Energy in eV/cell: -138.0
V in Å³ per cell: 239.6

Cell lengths 5.659, 5.659, 7.482 Å; angles 90.00, 90.00, 90.00 degrees
Space group I-42d (No. 122)
Inequivalent atoms, fractional coordinates:
Ti  0.173  0.750  0.125 x8
Rh  0.000  0.000  0.500 x4
N  0.000  0.000  0.000 x4

=====

Compound: Ti6RhN4
Source: the Alexandria database
Functional: GGA-PBE
Structure: optimized geometry

## Properties
Energy in eV/cell: -415.6
V in Å³ per cell: 502.9

Cell lengths 3.023, 10.336, 16.095 Å; angles 90.00, 90.00, 90.00 degrees
Space group Cmcm (No. 63)
Inequivalent atoms, fractional coordinates:
Ti  0.000  0.000  0.000 x4
Ti  0.000  0.143  0.250 x4
Ti  0.000  0.279  0.578 x8
Ti  0.000  0.462  0.147 x8
Rh  0.000  0.165  0.750 x4
N  0.000  0.093  0.120 x8
N  0.000  0.362  0.039 x8

=====

Compound: Ti12Rh5N2
Source: the Alexandria database
Functional: GGA-PBE
Structure: optimized geometry

## Properties
Energy in eV/cell: -321.0
V in Å³ per cell: 577.2

Cell lengths 15.299, 5.956, 7.012 Å; angles 90.00, 115.40, 90.00 degrees
Space group C2/m (No. 12)
Inequivalent atoms, fractional coordinates:
Ti  0.004  0.000  0.269 x4
Ti  0.016  0.500  0.336 x4
Ti  0.142  0.243  0.145 x8
Ti  0.147  0.244  0.655 x8
Rh  0.000  0.500  0.000 x2
Rh  0.248  0.000  0.003 x4
Rh  0.249  0.000  0.493 x4
N  0.000  0.230  0.500 x4

=====

Compound: Ti5RhN
Source: the Alexandria database
Functional: GGA-PBE
Structure: optimized geometry

## Properties
Energy in eV/cell: -240.1
V in Å³ per cell: 411.9

Cell lengths 9.337, 5.627, 8.844 Å; angles 90.00, 117.58, 90.00 degrees
Space group C2/c (No. 15)
Inequivalent atoms, fractional coordinates:
Ti  0.000  0.017  0.250 x4
Ti  0.132  0.311  0.048 x8
Ti  0.208  0.183  0.614 x8
Rh  0.000  0.486  0.750 x4
N  0.000  0.000  0.000 x4

=====

Compound: Ti2Rh2N
Source: the Alexandria database
Functional: GGA-PBE
Structure: optimized geometry

## Properties
Energy in eV/cell: -74.0
V in Å³ per cell: 153.2

Cell lengths 3.431, 3.431, 13.016 Å; angles 90.00, 90.00, 90.00 degrees
Space group I4/mmm (No. 139)
Inequivalent atoms, fractional coordinates:
Ti  0.000  0.000  0.097 x4
Rh  0.000  0.500  0.250 x4
N  0.000  0.000  0.500 x2

=====

Compound: Ti8Rh2N
Source: the Alexandria database
Functional: GGA-PBE
Structure: optimized geometry

## Properties
Energy in eV/cell: -181.8
V in Å³ per cell: 334.9

Cell lengths 14.065, 4.557, 5.441 Å; angles 90.00, 106.18, 90.00 degrees
Space group C2/m (No. 12)
Inequivalent atoms, fractional coordinates:
Ti  0.008  0.000  0.258 x4
Ti  0.084  0.500  0.903 x4
Ti  0.132  0.500  0.441 x4
Ti  0.206  0.000  0.778 x4
Rh  0.188  0.000  0.211 x4
N  0.000  0.500  0.500 x2

=====

no.,formation energy from raw total energies (eV/atom)
1,-1.11
2,-1.10
3,-0.76
4,-1.44
5,-0.65
6,-0.70
7,0.36
8,-0.43